1.
A geometry-optimized NbP2Se6 structure, computed with GGA-PBE.

Computed properties:
For the energy above the most stable polymorph in this dataset, the calculation gives 0.000 eV per atom. Its formation energy (no corrections) is -0.276 eV/atom.

Cell lengths 6.6660, 6.6660, 8.4722 Å; angles 66.83, 66.83, 60.00 degrees
Last column: magnetic moment on the atom in μB.
Element x y z (fractional)
1 Se 0.9414 0.3149 0.2353  0.01
2 P 0.6179 0.6179 0.1464  0.02
3 P 0.7151 0.7151 0.8546  0.02
4 Se 0.6659 0.4711 0.7653  0.01
5 Se 0.5084 0.9414 0.2353  0.01
6 Se 0.0976 0.6659 0.7653  0.01
7 Nb 0.3333 0.3333 0.0000  0.69
8 Se 0.4711 0.0976 0.7653  0.01
9 Se 0.3149 0.5084 0.2353  0.01



2.
A geometry-optimized NbPSe3 structure, computed with GGA-PBE.

Computed properties:
For the energy above the most stable polymorph in this dataset, the calculation gives 0.840 eV per atom. Its formation energy (no corrections) is 0.402 eV/atom.

Cell lengths 5.0557, 5.0557, 5.0557 Å; angles 90.00, 90.00, 90.00 degrees
Last column: magnetic moment on the atom in μB.
Element x y z (fractional)
1 Se 0.0000 0.5000 0.0000  -0.10
2 P 0.5000 0.5000 0.5000  0.90
3 Se 0.0000 0.0000 0.5000  -0.05
4 Nb 0.0000 0.0000 0.0000  0.43
5 Se 0.5000 0.0000 0.0000  -0.12



Question: The highest formation energy (no corrections) belongs to which entry?
Answer: NbPSe3



Please write out number 1 again, unchanged.
A geometry-optimized NbP2Se6 structure, computed with GGA-PBE.

Computed properties:
For the energy above the most stable polymorph in this dataset, the calculation gives 0.000 eV per atom. Its formation energy (no corrections) is -0.276 eV/atom.

Cell lengths 6.6660, 6.6660, 8.4722 Å; angles 66.83, 66.83, 60.00 degrees
Last column: magnetic moment on the atom in μB.
Element x y z (fractional)
1 Se 0.9414 0.3149 0.2353  0.01
2 P 0.6179 0.6179 0.1464  0.02
3 P 0.7151 0.7151 0.8546  0.02
4 Se 0.6659 0.4711 0.7653  0.01
5 Se 0.5084 0.9414 0.2353  0.01
6 Se 0.0976 0.6659 0.7653  0.01
7 Nb 0.3333 0.3333 0.0000  0.69
8 Se 0.4711 0.0976 0.7653  0.01
9 Se 0.3149 0.5084 0.2353  0.01



Question: The lowest formation energy (no corrections) belongs to which entry?
Answer: NbP2Se6